Computed, not measured: crystalline BeRhF2 at its relaxed geometry at the PBE level of DFT.

Calculated values
ΔE_f (raw)   -1.211 eV/atom
Space-group type   R-3m (166)
Energy above the lowest structure with this stoichiometry   582 meV/atom
Spin magnetization   1.36 Bohr magnetons per cell

Geometry as POSCAR:
```
BeRhF2
1.0
-7.680 5.738 0.584
-6.608 6.257 3.070
-5.727 7.661 0.868
Rh F Be
1 2 1
Direct
0.500 0.500 0.500
0.952 0.952 0.952
0.048 0.048 0.048
0.000 0.000 0.000
```